Density functional theory data (PBE) for a relaxed Pm2CuCl crystal.

excess energy over the best structure of this formula in the dataset = 0.43 eV per formula unit
N(E_F) = 3.62 states/eV per cell
size of the total moment = 0.00 μB/f.u.
final energy = -4.52 eV/atom

a b c (Å): 3.4097 3.4097 8.0888
angles (deg): 90.00 90.00 90.00
Fractional positions:
Cl (0.5000, 0.5000, 0.5000)
Cu (0.5000, 0.5000, 0.0000)
Pm (0.0000, 0.0000, 0.7738)
Pm (0.0000, 0.0000, 0.2262)

=====

Density functional theory data (PBE) for a relaxed Tl5Hg12Se3 crystal.

N(E_F) = 37.37 states/eV per cell
size of the total moment = 0.00 μB/f.u.
final energy = -1.25 eV/atom

a b c (Å): 15.3463 15.3463 15.3463
angles (deg): 109.47 109.47 109.47
Fractional positions:
Se (0.7500, 0.3750, 0.1250)
Se (0.8750, 0.7500, 0.1250)
Se (0.3750, 0.7500, 0.6250)
Se (0.2500, 0.1250, 0.3750)
Se (0.8750, 0.1250, 0.2500)
Se (0.3750, 0.6250, 0.2500)
Se (0.6250, 0.3750, 0.7500)
Se (0.1250, 0.8750, 0.7500)
Se (0.7500, 0.8750, 0.6250)
Se (0.6250, 0.2500, 0.3750)
Se (0.1250, 0.2500, 0.8750)
Se (0.2500, 0.6250, 0.8750)
Tl (0.1250, 0.3750, 0.2500)
Tl (0.0000, 0.5000, 0.0000)
Tl (0.0000, 0.0000, 0.0000)
Tl (0.3750, 0.2500, 0.1250)
Tl (0.5000, 0.0000, 0.5000)
Tl (0.5000, 0.5000, 0.0000)
Tl (0.1250, 0.7500, 0.3750)
Tl (0.7500, 0.1250, 0.8750)
Tl (0.7500, 0.6250, 0.3750)
Tl (0.3750, 0.1250, 0.7500)
Tl (0.6250, 0.8750, 0.2500)
Tl (0.5000, 0.5000, 0.5000)
Tl (0.5000, 0.0000, 0.0000)
Tl (0.0000, 0.0000, 0.5000)
Tl (0.2500, 0.3750, 0.6250)
Tl (0.2500, 0.8750, 0.1250)
Tl (0.0000, 0.5000, 0.5000)
Tl (0.8750, 0.2500, 0.6250)
Tl (0.6250, 0.7500, 0.8750)
Tl (0.8750, 0.6250, 0.7500)
Hg (0.7381, 0.1226, 0.0661)
Hg (0.3280, 0.5661, 0.4435)
Hg (0.9339, 0.3774, 0.2619)
Hg (0.5661, 0.2381, 0.1226)
Hg (0.6155, 0.7381, 0.6720)
Hg (0.9339, 0.5565, 0.1720)
Hg (0.3280, 0.7619, 0.3845)
Hg (0.0565, 0.8845, 0.1226)
Hg (0.5565, 0.9339, 0.6720)
Hg (0.7381, 0.6155, 0.1720)
Hg (0.7619, 0.4339, 0.3774)
Hg (0.8280, 0.9435, 0.0661)
Hg (0.1226, 0.7381, 0.5661)
Hg (0.3774, 0.4435, 0.1155)
Hg (0.1155, 0.9435, 0.3774)
Hg (0.3845, 0.1226, 0.5565)
Hg (0.1155, 0.1720, 0.2381)
Hg (0.4339, 0.6720, 0.0565)
Hg (0.8280, 0.8845, 0.2619)
Hg (0.1226, 0.3845, 0.0565)
Hg (0.3774, 0.9339, 0.7619)
Hg (0.5565, 0.6226, 0.3845)
Hg (0.9435, 0.8280, 0.5661)
Hg (0.7619, 0.3280, 0.8845)
Hg (0.4435, 0.3774, 0.6155)
Hg (0.0565, 0.1720, 0.4339)
Hg (0.2381, 0.6720, 0.1155)
Hg (0.1720, 0.1155, 0.7381)
Hg (0.6226, 0.0661, 0.2381)
Hg (0.8774, 0.6155, 0.9435)
Hg (0.5661, 0.3280, 0.9435)
Hg (0.6155, 0.8774, 0.4435)
Hg (0.8845, 0.8280, 0.7619)
Hg (0.8845, 0.0565, 0.6226)
Hg (0.8774, 0.2619, 0.4339)
Hg (0.1720, 0.0565, 0.9339)
Hg (0.6226, 0.5565, 0.8845)
Hg (0.4435, 0.0661, 0.3280)
Hg (0.2619, 0.3845, 0.8280)
Hg (0.2381, 0.5661, 0.6226)
Hg (0.9435, 0.1155, 0.8774)
Hg (0.6720, 0.2381, 0.6155)
Hg (0.4339, 0.7619, 0.8774)
Hg (0.0661, 0.4435, 0.8280)
Hg (0.3845, 0.2619, 0.3280)
Hg (0.0661, 0.6226, 0.7381)
Hg (0.6720, 0.4339, 0.5565)
Hg (0.2619, 0.8774, 0.9339)

=====

Density functional theory data (PBE) for a relaxed Li5Pm2Cu5 crystal.

N(E_F) = 5.94 states/eV per cell
DFT formation energy = -0.080 eV/atom
size of the total moment = 0.00 μB/f.u.
final energy = -3.38 eV/atom

a b c (Å): 4.4145 5.1636 8.9624
angles (deg): 90.00 90.00 90.00
Fractional positions:
Li (0.5000, 0.5000, 0.5000)
Li (0.5000, 0.7532, 0.2434)
Li (0.5000, 0.2468, 0.7566)
Li (0.5000, 0.2468, 0.2434)
Li (0.5000, 0.7532, 0.7566)
Pm (0.0000, 0.5000, 0.0000)
Pm (0.0000, 0.0000, 0.5000)
Cu (0.0000, 0.5000, 0.3344)
Cu (0.0000, 0.0000, 0.8414)
Cu (0.0000, 0.0000, 0.1586)
Cu (0.0000, 0.5000, 0.6656)
Cu (0.5000, 0.0000, 0.0000)

=====

Density functional theory data (PBE) for a relaxed LiZr2Br crystal.

excess energy over the best structure of this formula in the dataset = 2.49 eV per formula unit
N(E_F) = 4.87 states/eV per cell
size of the total moment = 0.00 μB/f.u.
final energy = -4.91 eV/atom

a b c (Å): 5.6950 5.6950 5.6950
angles (deg): 138.13 138.13 60.71
Fractional positions:
Br (0.5000, 0.5000, 0.0000)
Li (0.7500, 0.2500, 0.5000)
Zr (0.0000, 0.0000, 0.0000)
Zr (0.2500, 0.7500, 0.5000)

=====

Density functional theory data (PBE) for a relaxed YRe2Tc crystal.

excess energy over the best structure of this formula in the dataset = 0.40 eV per formula unit
N(E_F) = 4.04 states/eV per cell
DFT formation energy = 0.299 eV/atom
size of the total moment = 0.00 μB/f.u.
final energy = -10.13 eV/atom

a b c (Å): 5.2249 5.2249 4.9286
angles (deg): 69.45 69.45 34.63
Fractional positions:
Re (0.0278, 0.0278, 0.9437)
Re (0.7490, 0.7490, 0.7573)
Tc (0.4736, 0.4736, 0.5446)
Y (0.2497, 0.2497, 0.2543)

=====

Density functional theory data (PBE) for a relaxed ThPd6Au4 crystal.

N(E_F) = 9.87 states/eV per cell
DFT formation energy = -0.354 eV/atom
size of the total moment = 0.00 μB/f.u.
final energy = -5.05 eV/atom

a b c (Å): 5.0637 4.2251 20.2667
angles (deg): 90.00 90.00 114.92
Fractional positions:
Th (0.5096, 0.5076, 0.2500)
Th (0.4904, 0.4924, 0.7500)
Pd (0.5000, 0.0000, 0.0000)
Pd (0.5000, 0.0000, 0.5000)
Pd (0.8917, 0.1966, 0.3247)
Pd (0.1083, 0.8034, 0.6753)
Pd (0.1083, 0.8034, 0.8247)
Pd (0.8917, 0.1966, 0.1753)
Pd (0.6980, 0.5995, 0.4075)
Pd (0.3020, 0.4005, 0.5925)
Pd (0.3020, 0.4005, 0.9075)
Pd (0.6980, 0.5995, 0.0925)
Pd (0.0948, 0.7991, 0.2500)
Pd (0.9052, 0.2009, 0.7500)
Au (0.8996, 0.6998, 0.5429)
Au (0.3087, 0.9038, 0.1280)
Au (0.1004, 0.3002, 0.4571)
Au (0.6913, 0.0962, 0.8720)
Au (0.8996, 0.6998, 0.9571)
Au (0.1004, 0.3002, 0.0429)
Au (0.6913, 0.0962, 0.6280)
Au (0.3087, 0.9038, 0.3720)

=====

Density functional theory data (PBE) for a relaxed Dy2CuAs crystal.

N(E_F) = 4.46 states/eV per cell
DFT formation energy = -0.712 eV/atom
size of the total moment = 0.00 μB/f.u.
final energy = -5.20 eV/atom

a b c (Å): 4.0672 4.0672 7.1681
angles (deg): 73.52 73.52 60.00
Fractional positions:
As (0.0000, 0.0000, 0.0000)
Cu (0.5000, 0.5000, 0.5000)
Dy (0.2519, 0.2519, 0.2442)
Dy (0.7481, 0.7481, 0.7558)

=====

Density functional theory data (PBE) for a relaxed NdBiRh crystal.

N(E_F) = 9.98 states/eV per cell
DFT formation energy = -0.728 eV/atom
size of the total moment = 0.00 μB/f.u.
final energy = -6.06 eV/atom

a b c (Å): 4.7748 7.4842 8.0973
angles (deg): 90.00 90.00 90.00
Fractional positions:
Rh (0.2500, 0.7931, 0.0812)
Rh (0.2500, 0.2931, 0.4188)
Rh (0.7500, 0.7069, 0.5812)
Rh (0.7500, 0.2069, 0.9188)
Nd (0.7500, 0.9857, 0.3033)
Nd (0.2500, 0.0143, 0.6967)
Nd (0.7500, 0.4857, 0.1967)
Nd (0.2500, 0.5143, 0.8033)
Bi (0.7500, 0.3164, 0.5898)
Bi (0.2500, 0.1836, 0.0898)
Bi (0.2500, 0.6836, 0.4102)
Bi (0.7500, 0.8164, 0.9102)

=====

Density functional theory data (PBE) for a relaxed Mg2BAs crystal.

excess energy over the best structure of this formula in the dataset = 0.37 eV per formula unit
N(E_F) = 5.52 states/eV per cell
DFT formation energy = 0.512 eV/atom
size of the total moment = 0.00 μB/f.u.
final energy = -3.12 eV/atom

a b c (Å): 6.9771 6.9771 5.6914
angles (deg): 52.20 52.20 90.00
Fractional positions:
As (0.0000, 0.0000, 0.0000)
As (0.7500, 0.2500, 0.5000)
B (0.5000, 0.5000, 0.0000)
B (0.2500, 0.7500, 0.5000)
Mg (0.5768, 0.1250, 0.2500)
Mg (0.1732, 0.6250, 0.2500)
Mg (0.3750, 0.4232, 0.7500)
Mg (0.8750, 0.8268, 0.7500)

=====

Density functional theory data (PBE) for a relaxed GaH4I crystal.

N(E_F) = 0.00 states/eV per cell
size of the total moment = 0.00 μB/f.u.
final energy = -3.00 eV/atom

a b c (Å): 5.9460 4.7605 10.8648
angles (deg): 95.67 28.04 80.65
Fractional positions:
Ga (0.8637, 0.5784, 0.6076)
H (0.2494, 0.2042, 0.4370)
H (0.7105, 0.7731, 0.5673)
H (0.0416, 0.5496, 0.9468)
H (0.1379, 0.4495, 0.9560)
I (0.4858, 0.9615, 0.9932)

=====

Density functional theory data (PBE) for a relaxed Na3Li3BeF8 crystal.

N(E_F) = 0.00 states/eV per cell
size of the total moment = 0.00 μB/f.u.
final energy = -4.74 eV/atom

a b c (Å): 5.9523 5.9552 6.2525
angles (deg): 118.45 90.00 119.99
Fractional positions:
Na (0.0000, 0.0000, 0.0000)
Na (0.0000, 0.5000, 0.0000)
Na (0.5000, 0.5000, 0.0000)
Li (0.5000, 0.0000, 0.5000)
Li (0.5000, 0.5000, 0.5000)
Li (0.0000, 0.5000, 0.5000)
Be (0.0000, 0.0000, 0.5000)
F (0.2606, 0.5213, 0.2820)
F (0.7394, 0.4787, 0.7180)
F (0.7896, 0.5791, 0.3053)
F (0.2104, 0.4209, 0.6947)
F (0.7896, 0.0156, 0.3053)
F (0.2104, 0.9844, 0.6947)
F (0.2260, 0.0156, 0.3053)
F (0.7740, 0.9844, 0.6947)

=====

Density functional theory data (PBE) for a relaxed AlZnReW crystal.

N(E_F) = 0.58 states/eV per cell
DFT formation energy = 0.002 eV/atom
size of the total moment = 0.00 μB/f.u.
final energy = -7.60 eV/atom

a b c (Å): 4.3811 4.3811 4.3811
angles (deg): 60.00 60.00 60.00
Fractional positions:
Re (0.0000, 0.0000, 0.0000)
Zn (0.5000, 0.5000, 0.5000)
Al (0.2500, 0.2500, 0.2500)
W (0.7500, 0.7500, 0.7500)

=====

Density functional theory data (PBE) for a relaxed La7Sm12Er crystal.

excess energy over the best structure of this formula in the dataset = 7.35 eV per formula unit
N(E_F) = 33.85 states/eV per cell
DFT formation energy = 0.578 eV/atom
size of the total moment = 0.00 μB/f.u.
final energy = -4.21 eV/atom

a b c (Å): 9.9932 9.9932 9.9932
angles (deg): 109.47 109.47 109.47
Fractional positions:
La (0.5000, 0.5000, 0.0000)
La (0.0000, 0.5000, 0.5000)
La (0.5000, 0.0000, 0.5000)
La (0.5000, 0.5000, 0.5000)
La (0.0000, 0.0000, 0.5000)
La (0.5000, 0.0000, 0.0000)
La (0.0000, 0.5000, 0.0000)
Sm (0.5088, 0.7544, 0.7544)
Sm (0.0000, 0.7544, 0.2456)
Sm (0.4912, 0.2456, 0.2456)
Sm (0.0000, 0.2456, 0.7544)
Sm (0.7544, 0.0000, 0.2456)
Sm (0.7544, 0.5088, 0.7544)
Sm (0.2456, 0.0000, 0.7544)
Sm (0.2456, 0.4912, 0.2456)
Sm (0.7544, 0.7544, 0.5088)
Sm (0.2456, 0.2456, 0.4912)
Sm (0.7544, 0.2456, 0.0000)
Sm (0.2456, 0.7544, 0.0000)
Er (0.0000, 0.0000, 0.0000)

=====

Density functional theory data (PBE) for a relaxed LiV2CdMo crystal.

N(E_F) = 4.29 states/eV per cell
DFT formation energy = 1.064 eV/atom
size of the total moment = 1.92 μB/f.u.
final energy = -5.32 eV/atom

a b c (Å): 4.5168 4.9127 4.5168
angles (deg): 90.00 90.00 90.00
Fractional positions:
Mo (0.0000, 0.0000, 0.0000)
V (0.0000, 0.0000, 0.5000)
V (0.5000, 0.0000, 0.0000)
Li (0.0000, 0.5000, 0.0000)
Cd (0.5000, 0.5000, 0.5000)

=====

Density functional theory data (PBE) for a relaxed HfPBrCl2 crystal.

excess energy over the best structure of this formula in the dataset = 0.00 eV per formula unit
N(E_F) = 3.37 states/eV per cell
size of the total moment = 0.00 μB/f.u.
final energy = -4.77 eV/atom

a b c (Å): 4.8743 4.8743 5.2937
angles (deg): 90.00 90.00 90.00
Fractional positions:
P (0.0000, 0.0000, 0.5000)
Hf (0.0000, 0.0000, 0.0000)
Br (0.5000, 0.5000, 0.5000)
Cl (0.0000, 0.5000, 0.0000)
Cl (0.5000, 0.0000, 0.0000)

=====

Density functional theory data (PBE) for a relaxed Zn3Ag3Au2 crystal.

excess energy over the best structure of this formula in the dataset = 0.00 eV per formula unit
N(E_F) = 2.49 states/eV per cell
DFT formation energy = -0.102 eV/atom
size of the total moment = 0.00 μB/f.u.
final energy = -2.47 eV/atom

a b c (Å): 4.2701 4.1834 7.4426
angles (deg): 90.00 90.00 90.00
Fractional positions:
Zn (0.5000, 0.0000, 0.5000)
Zn (0.0000, 0.5000, 0.0000)
Zn (0.0000, 0.5000, 0.5000)
Ag (0.5000, 0.5000, 0.7368)
Ag (0.5000, 0.5000, 0.2632)
Ag (0.5000, 0.0000, 0.0000)
Au (0.0000, 0.0000, 0.7400)
Au (0.0000, 0.0000, 0.2600)

=====

Density functional theory data (PBE) for a relaxed TlVAgPb2 crystal.

N(E_F) = 6.89 states/eV per cell
DFT formation energy = 1.139 eV/atom
size of the total moment = 0.26 μB/f.u.
final energy = -3.21 eV/atom

a b c (Å): 5.4405 5.4405 5.3516
angles (deg): 90.00 90.00 90.00
Fractional positions:
Pb (0.0000, 0.5000, 0.0000)
Pb (0.5000, 0.0000, 0.0000)
Tl (0.0000, 0.0000, 0.5000)
Ag (0.0000, 0.0000, 0.0000)
V (0.5000, 0.5000, 0.5000)

=====

Density functional theory data (PBE) for a relaxed TiCo3H crystal.

excess energy over the best structure of this formula in the dataset = 0.30 eV per formula unit
N(E_F) = 17.15 states/eV per cell
size of the total moment = 2.00 μB/f.u.
final energy = -6.73 eV/atom

a b c (Å): 15.9775 4.1494 6.8623
angles (deg): 90.00 154.67 90.00
Fractional positions:
H (0.1220, 0.4868, 0.6140)
H (0.8780, 0.5132, 0.3860)
H (0.3780, 0.9868, 0.8860)
H (0.6220, 0.0132, 0.1140)
Co (0.3314, 0.2491, 0.9927)
Co (0.6686, 0.7509, 0.0073)
Co (0.1686, 0.7491, 0.5073)
Co (0.8314, 0.2509, 0.4927)
Co (0.4632, 0.2582, 0.6396)
Co (0.5368, 0.7418, 0.3604)
Co (0.0368, 0.7582, 0.8604)
Co (0.9632, 0.2418, 0.1396)
Co (0.4209, 0.7441, 0.7616)
Co (0.5791, 0.2559, 0.2384)
Co (0.0791, 0.2441, 0.7384)
Co (0.9209, 0.7559, 0.2616)
Ti (0.3060, 0.7578, 0.1679)
Ti (0.6940, 0.2422, 0.8321)
Ti (0.1940, 0.2578, 0.3321)
Ti (0.8060, 0.7422, 0.6679)

=====

Density functional theory data (PBE) for a relaxed CsTa3Tl crystal.

excess energy over the best structure of this formula in the dataset = 0.00 eV per formula unit
N(E_F) = 8.05 states/eV per cell
DFT formation energy = 2.612 eV/atom
size of the total moment = 3.36 μB/f.u.
final energy = -5.14 eV/atom

a b c (Å): 5.3543 5.3543 5.3543
angles (deg): 90.00 90.00 90.00
Fractional positions:
Cs (0.5000, 0.5000, 0.5000)
Tl (0.0000, 0.0000, 0.0000)
Ta (0.0000, 0.5000, 0.0000)
Ta (0.0000, 0.0000, 0.5000)
Ta (0.5000, 0.0000, 0.0000)

=====

Density functional theory data (PBE) for a relaxed Cr2CdCu crystal.

N(E_F) = 2.86 states/eV per cell
DFT formation energy = 0.346 eV/atom
size of the total moment = 0.00 μB/f.u.
final energy = -5.72 eV/atom

a b c (Å): 8.5953 8.5953 8.5953
angles (deg): 18.96 18.96 18.96
Fractional positions:
Cd (0.7498, 0.7498, 0.7498)
Cr (0.9839, 0.9839, 0.9839)
Cr (0.2573, 0.2573, 0.2573)
Cu (0.5090, 0.5090, 0.5090)